1.
! RbInO2, optimized geometry, DFT PBE-GGA; values from VASP
! space group	P4/mmm, No. 123
! uncorrected formation energy	-1.7	eV per formula unit
! total energy	-3.821	eV/atom
&SYSTEM
  ibrav = 0, nat = 4, ntyp = 3
/
ATOMIC_SPECIES
Rb 85.47 Rb.upf
In 114.82 In.upf
O 16.00 O.upf
ATOMIC_POSITIONS crystal
Rb 0.000 0.000 0.000
In 0.500 0.500 0.000
O 0.000 0.500 0.500
O 0.500 0.000 0.500
CELL_PARAMETERS angstrom
4.481 0.000 0.000
0.000 4.481 0.000
0.000 0.000 3.130

---

2.
! SrTmNi, optimized geometry, DFT PBE-GGA; values from VASP
! space group	C2/m, No. 12
! total energy	-4.035	eV/atom
&SYSTEM
  ibrav = 0, nat = 12, ntyp = 3
/
ATOMIC_SPECIES
Sr 87.62 Sr.upf
Tm 168.93 Tm.upf
Ni 58.69 Ni.upf
ATOMIC_POSITIONS crystal
Sr 0.028 0.028 0.199
Sr 0.398 0.398 0.402
Sr 0.602 0.602 0.598
Sr 0.972 0.972 0.801
Tm 0.179 0.179 0.972
Tm 0.204 0.204 0.376
Tm 0.796 0.796 0.624
Tm 0.821 0.821 0.028
Ni 0.214 0.214 0.672
Ni 0.280 0.280 0.182
Ni 0.720 0.720 0.818
Ni 0.786 0.786 0.328
CELL_PARAMETERS angstrom
10.701 -1.960 0.000
10.701 1.960 0.000
-1.847 0.000 9.319

---

3.
! BaFeRe2, optimized geometry, DFT PBE-GGA; values from VASP
! excess energy over the best structure of this formula in the dataset	118.0	kJ per mole of atoms
! space group	Fm-3m, No. 225
! total energy	-7.054	eV/atom
&SYSTEM
  ibrav = 0, nat = 4, ntyp = 3
/
ATOMIC_SPECIES
Ba 137.33 Ba.upf
Fe 55.84 Fe.upf
Re 186.21 Re.upf
ATOMIC_POSITIONS crystal
Ba 0.000 0.000 0.000
Fe 0.500 0.500 0.500
Re 0.250 0.250 0.250
Re 0.750 0.750 0.750
CELL_PARAMETERS angstrom
0.000 3.267 3.267
3.267 0.000 3.267
3.267 3.267 0.000

---

4.
! Pa2Al3Ag, optimized geometry, DFT PBE-GGA; values from VASP
! excess energy over the best structure of this formula in the dataset	0.8	kJ per mole of atoms
! space group	R-3m, No. 166
! total energy	-5.748	eV/atom
&SYSTEM
  ibrav = 0, nat = 6, ntyp = 3
/
ATOMIC_SPECIES
Pa 231.04 Pa.upf
Al 26.98 Al.upf
Ag 107.87 Ag.upf
ATOMIC_POSITIONS crystal
Pa 0.105 0.105 0.105
Pa 0.895 0.895 0.895
Al 0.000 0.500 0.500
Al 0.500 0.000 0.500
Al 0.500 0.500 0.000
Ag 0.500 0.500 0.500
CELL_PARAMETERS angstrom
2.844 1.642 4.303
-2.844 1.642 4.303
0.000 -3.284 4.303

---

5.
! Nb6IrC4, optimized geometry, DFT PBE-GGA; values from VASP
! space group	Cmcm, No. 63
! total energy	-10.162	eV/atom
&SYSTEM
  ibrav = 0, nat = 22, ntyp = 3
/
ATOMIC_SPECIES
Nb 92.91 Nb.upf
Ir 192.22 Ir.upf
C 12.01 C.upf
ATOMIC_POSITIONS crystal
Nb 0.000 0.000 0.000
Nb 0.000 0.000 0.500
Nb 0.142 0.858 0.750
Nb 0.279 0.721 0.078
Nb 0.279 0.721 0.422
Nb 0.459 0.541 0.650
Nb 0.459 0.541 0.850
Nb 0.541 0.459 0.150
Nb 0.541 0.459 0.350
Nb 0.721 0.279 0.578
Nb 0.721 0.279 0.922
Nb 0.858 0.142 0.250
Ir 0.169 0.831 0.250
Ir 0.831 0.169 0.750
C 0.091 0.909 0.623
C 0.091 0.909 0.877
C 0.362 0.638 0.540
C 0.362 0.638 0.960
C 0.638 0.362 0.040
C 0.638 0.362 0.460
C 0.909 0.091 0.123
C 0.909 0.091 0.377
CELL_PARAMETERS angstrom
1.603 -5.413 0.000
1.603 5.413 0.000
0.000 0.000 16.847

---

6.
! RbGaTeI2, optimized geometry, DFT PBE-GGA; values from VASP
! excess energy over the best structure of this formula in the dataset	66.5	kJ per mole of atoms
! space group	P4/mmm, No. 123
! uncorrected formation energy	0.6	eV per formula unit
! total energy	-1.924	eV/atom
&SYSTEM
  ibrav = 0, nat = 5, ntyp = 4
/
ATOMIC_SPECIES
Rb 85.47 Rb.upf
Ga 69.72 Ga.upf
Te 127.60 Te.upf
I 126.90 I.upf
ATOMIC_POSITIONS crystal
Rb 0.000 0.000 0.000
Ga 0.500 0.500 0.500
Te 0.000 0.000 0.500
I 0.000 0.500 0.000
I 0.500 0.000 0.000
CELL_PARAMETERS angstrom
6.848 0.000 0.000
0.000 6.848 0.000
0.000 0.000 6.623

---

> The lowest total energy belongs to which entry?

Nb6IrC4

---

Repeat the third record exactly.
! BaFeRe2, optimized geometry, DFT PBE-GGA; values from VASP
! excess energy over the best structure of this formula in the dataset	118.0	kJ per mole of atoms
! space group	Fm-3m, No. 225
! total energy	-7.054	eV/atom
&SYSTEM
  ibrav = 0, nat = 4, ntyp = 3
/
ATOMIC_SPECIES
Ba 137.33 Ba.upf
Fe 55.84 Fe.upf
Re 186.21 Re.upf
ATOMIC_POSITIONS crystal
Ba 0.000 0.000 0.000
Fe 0.500 0.500 0.500
Re 0.250 0.250 0.250
Re 0.750 0.750 0.750
CELL_PARAMETERS angstrom
0.000 3.267 3.267
3.267 0.000 3.267
3.267 3.267 0.000

---

> Among the records above, which one has the highest total energy?

RbGaTeI2